# 1
A plane-wave DFT calculation with meta-GGA SCAN was carried out for a PBEsol-optimized structure of Ga2HBr2.

Geometry as POSCAR:
```
Ga2HBr2
1.0
-3.440 -2.906 2.452
1.561 -1.950 -4.478
4.475 0.456 2.461
H Ga Br
1 2 2
direct
0.000 0.000 0.000 H
0.000 0.715 0.715 Ga
0.000 0.285 0.285 Ga
0.500 0.750 0.250 Br
0.500 0.250 0.750 Br
```

Results
Size of the total moment   0.000 μB/atom
Space-group type   I4/mmm
Crystal system   tetragonal

# 2
A plane-wave DFT calculation with meta-GGA SCAN was carried out for a PBEsol-optimized structure of NiSb2Os.

Geometry as POSCAR:
```
NiSb2Os
1.0
3.874 0.000 0.000
0.000 3.874 0.000
-1.937 -1.937 4.578
Ni Os Sb
1 1 2
direct
0.500 0.500 0.000 Ni
0.250 0.750 0.500 Os
0.000 0.000 0.000 Sb
0.750 0.250 0.500 Sb
```

Results
Size of the total moment   0.000 μB/atom
Formation energy without anion corrections   63.2 kJ/mol of atoms
Space-group type   I-4m2
Crystal system   tetragonal

# 3
A plane-wave DFT calculation with meta-GGA SCAN was carried out for a PBEsol-optimized structure of Li4V3Fe3W2O16.

Geometry as POSCAR:
```
Li4V3Fe3W2O16
1.0
-4.026 -3.481 1.989
0.827 -5.619 -0.151
4.064 0.327 8.891
Li V Fe W O
4 3 3 2 16
direct
0.336 0.336 0.101 Li
0.002 0.002 0.013 Li
0.002 0.002 0.517 Li
0.671 0.671 0.596 Li
0.183 0.183 0.781 V
0.830 0.356 0.284 V
0.356 0.830 0.284 V
0.633 0.182 0.781 Fe
0.182 0.633 0.781 Fe
0.818 0.818 0.290 Fe
0.339 0.339 0.508 W
0.669 0.669 0.008 W
0.662 0.153 0.401 O
0.487 0.487 0.634 O
0.330 0.330 0.907 O
0.002 0.002 0.707 O
0.996 0.996 0.203 O
0.153 0.662 0.401 O
0.466 0.033 0.642 O
0.033 0.466 0.642 O
0.834 0.834 0.919 O
0.170 0.170 0.398 O
0.966 0.523 0.158 O
0.523 0.966 0.158 O
0.659 0.659 0.404 O
0.842 0.346 0.911 O
0.521 0.521 0.154 O
0.346 0.842 0.911 O
```

Results
Size of the total moment   0.324 μB/atom
Formation energy without anion corrections   -213.4 kJ/mol of atoms
Space-group type   Cm
Crystal system   monoclinic

Number 1: E -15.2201 eV/atom. Number 2: E -39.9884 eV/atom. Number 3: E -14.9078 eV/atom.